Entry 1:
# TeIr3Se

A relaxed structure of TeIr3Se (PBE, Alexandria).

Cell lengths 4.8754, 4.8754, 4.8754 Å; angles 90.00, 90.00, 90.00 degrees
Closest atoms and distances in Å follow each position.
Space group Pm-3m (No. 221)
Asymmetric unit:
Te1 0.0000 0.0000 0.0000 (multiplicity 1)  6 Ir 2.44
Ir1 0.0000 0.0000 0.5000 (multiplicity 3)  2 Te 2.44
Se1 0.5000 0.5000 0.5000 (multiplicity 1)  12 Ir 3.45

Computed properties:
- total DFT energy (no corrections) (eV per formula unit) = -24.22
- distance to the lowest polymorph of the same formula (meV/atom) = 585
- ΔE_f (raw) (eV per atom) = 1.7982

=====

Entry 2:
# LiCrAg2

A relaxed structure of LiCrAg2 (PBE, Alexandria).

Cell lengths 9.7308, 3.0304, 4.7550 Å; angles 90.00, 103.65, 90.00 degrees
Closest atoms and distances in Å follow each position.
Space group Cm (No. 8)
Asymmetric unit:
Li1 0.0000 0.0000 0.0000 (multiplicity 2)  7 Ag 2.77-2.87, 3 Cr 3.01-3.02, 2 Li 3.03
Cr1 0.2620 0.5000 0.3043 (multiplicity 2)  7 Ag 2.81-2.85, 3 Li 3.01-3.02, 2 Cr 3.03
Ag1 0.0087 0.5000 0.5048 (multiplicity 2)  3 Cr 2.81-2.85, 4 Li 2.82, 5 Ag 2.93-3.10
Ag2 0.2578 0.0000 0.8044 (multiplicity 2)  3 Li 2.77-2.87, 4 Cr 2.81-2.83, 5 Ag 2.93-3.10

Computed properties:
- DFT formation energy (eV/atom) = 0.204
- total DFT energy (no corrections) (eV per formula unit) = -16.42
- distance to the lowest polymorph of the same formula (meV/atom) = 48

=====

Entry 3:
# LiTb5Al4

A relaxed structure of LiTb5Al4 (PBE, Alexandria).

Cell lengths 3.6010, 3.6010, 18.5634 Å; angles 90.00, 90.00, 90.00 degrees
Closest atoms and distances in Å follow each position.
Space group P4/mmm (No. 123)
Asymmetric unit:
Li1 0.0000 0.0000 0.0000 (multiplicity 1)  8 Tb 3.26, 4 Li 3.60
Tb1 0.5000 0.5000 0.1095 (multiplicity 2)  4 Al 3.09, 4 Li 3.26
Tb2 0.5000 0.5000 0.3046 (multiplicity 2)  8 Al 3.12-3.16
Tb3 0.5000 0.5000 0.5000 (multiplicity 1)  8 Al 3.13
Al1 0.0000 0.0000 0.2036 (multiplicity 2)  8 Tb 3.09-3.16
Al2 0.0000 0.0000 0.4022 (multiplicity 2)  8 Tb 3.12-3.13

Computed properties:
- DFT formation energy (eV/atom) = -0.312
- total DFT energy (no corrections) (eV per formula unit) = -43.16

=====

Entry 4:
# LaAg4Br

A relaxed structure of LaAg4Br (PBE, Alexandria).

Cell lengths 8.1546, 8.1546, 8.1546 Å; angles 90.00, 90.00, 90.00 degrees
Closest atoms and distances in Å follow each position.
Space group F-43m (No. 216)
Asymmetric unit:
La1 0.0000 0.0000 0.0000 (multiplicity 4)  12 Ag 3.38, 4 Br 3.53
Ag1 0.1247 0.1247 0.6247 (multiplicity 16)  6 Ag 2.88-2.89
Br1 0.2500 0.2500 0.2500 (multiplicity 4)  12 Ag 3.38, 4 La 3.53

Computed properties:
- total DFT energy (no corrections) (eV per formula unit) = -19.23
- ΔE_f (raw) (eV per atom) = -0.2041

=====

Entry 5:
# CsKAg2Au

A relaxed structure of CsKAg2Au (PBE, Alexandria).

Cell lengths 5.5012, 5.5012, 5.8688 Å; angles 90.00, 90.00, 90.00 degrees
Closest atoms and distances in Å follow each position.
Space group P4/mmm (No. 123)
Asymmetric unit:
Cs1 0.0000 0.0000 0.0000 (multiplicity 1)  4 K 3.89, 8 Ag 4.02
K1 0.5000 0.5000 0.0000 (multiplicity 1)  2 Au 2.93
Ag1 0.0000 0.5000 0.5000 (multiplicity 2)  2 Au 2.75
Au1 0.5000 0.5000 0.5000 (multiplicity 1)  4 Ag 2.75, 2 K 2.93

Computed properties:
- DFT formation energy (eV/atom) = 0.050
- total DFT energy (no corrections) (eV per formula unit) = -10.68